# 1
KAcCu2As2: optimized geometry, PBE.

* V: 148.4 Å³ per cell
* total moment: 0.00 μB/f.u.
* energy of formation from the pure elements: -660 meV per atom
* final energy: -26.7 eV per cell
* density: 6.075 g cm⁻³

```
data_KAcCu2As2
_cell_length_a 4.3045
_cell_length_b 4.3045
_cell_length_c 9.2509
_cell_angle_alpha 90.00
_cell_angle_beta 90.00
_cell_angle_gamma 120.00
_space_group_name_H-M_alt 'P -3 m 1'
_space_group_IT_number 164
_space_group_name_Hall '-P 3 2"'
loop_
_atom_site_label
_atom_site_fract_x
_atom_site_fract_y
_atom_site_fract_z
K1 0.0000 0.0000 0.0000
Ac1 0.0000 0.0000 0.5000
Cu1 0.3333 0.6667 0.2691
As1 0.3333 0.6667 0.7255
```

# 2
LiAcCu2As2: optimized geometry, PBE.

* V: 113.4 Å³ per cell
* total moment: 0.00 μB/f.u.
* energy of formation from the pure elements: -714 meV per atom
* final energy: -27.8 eV per cell
* density: 7.481 g cm⁻³

```
data_LiAcCu2As2
_cell_length_a 4.2581
_cell_length_b 4.2581
_cell_length_c 7.2213
_cell_angle_alpha 90.00
_cell_angle_beta 90.00
_cell_angle_gamma 120.00
_space_group_name_H-M_alt 'P -3 m 1'
_space_group_IT_number 164
_space_group_name_Hall '-P 3 2"'
loop_
_atom_site_label
_atom_site_fract_x
_atom_site_fract_y
_atom_site_fract_z
Li1 0.0000 0.0000 0.0000
Ac1 0.0000 0.0000 0.5000
Cu1 0.3333 0.6667 0.1545
As1 0.3333 0.6667 0.7790
```

# 3
AcCu2AsN: optimized geometry, PBE.

* V: 335.5 Å³ per cell
* total moment: 0.00 μB/f.u.
* final energy: -111.7 eV per cell
* density: 8.770 g cm⁻³
* formation energy without anion corrections: -0.532 eV per atom

```
data_AcCu2AsN
_cell_length_a 3.906
_cell_length_b 11.935
_cell_length_c 7.197
_cell_angle_alpha 90.00
_cell_angle_beta 90.00
_cell_angle_gamma 90.00
_space_group_name_H-M_alt 'C m c m'
_space_group_IT_number 63
_space_group_name_Hall '-C 2c 2'
loop_
_atom_site_label
_atom_site_fract_x
_atom_site_fract_y
_atom_site_fract_z
Ac1 0.000 0.044 0.250
Cu1 0.000 0.336 0.062
As1 0.000 0.231 0.750
N1 0.000 0.500 0.000
```

> Number 1 is which compound?

KAcCu2As2